12
Lattice="-1.436 -3.361 -0.480 6.127 -3.092 3.329 -4.611 0.734 8.661" Properties=species:S:1:pos:R:3 comment="PBE BaHoThN3, relaxed" magnetic_moment_mub_per_atom=0.000 raw_formation_energy_ev_per_atom=-1.151 pbc="T T T"
Ba 0.533 -4.606 9.437
Ba -0.452 -1.113 2.074
Ho -2.040 -0.898 5.319
Ho 2.121 -4.821 6.192
Th 2.841 -2.664 3.082
Th -2.760 -3.056 8.429
N 2.327 -3.091 7.617
N 2.985 -4.881 4.020
N 0.934 -3.693 1.836
N -2.246 -2.628 3.893
N -0.854 -2.026 9.674
N -2.905 -0.839 7.490

7
Lattice="-1.032 2.737 3.179 -4.089 -2.649 -1.983 0.006 -5.190 4.471" Properties=species:S:1:pos:R:3 comment="PBE Li2Cd2GaHg2, relaxed" n_ef_per_ev_fu=2.31 magnetic_moment_mub_per_atom=0.000 e_form_kj_per_mol_fu=-120 pbc="T T T"
Li -2.450 -1.014 3.013
Li -2.666 -4.088 2.654
Cd -1.282 -0.767 0.244
Cd -3.834 -4.334 5.423
Ga 0.003 -2.595 2.236
Hg -1.317 -2.762 4.886
Hg -3.799 -2.340 0.781